Record 1
A relaxed structure of B2IBr. Source: the Alexandria database, functional PBE.

Its energy above the lowest structure with this stoichiometry is 226 meV/atom. For the formation energy (no corrections), the calculation gives 1.963 eV per atom. As for the calculated volume: 21.35 A^3/atom. As for the raw total energy: -2.18 eV/atom.

The structure belongs to space group Fm-3m (No. 225); the cell edges are 6.990, 6.990 and 6.990 Å and the angles 90.00°, 90.00° and 90.00°. The inequivalent atoms are B at (0.250, 0.250, 0.250), I at (0.000, 0.000, 0.000) and Br at (0.000, 0.000, 0.500).


Record 2
A relaxed structure of BIBr3. Source: the Alexandria database, functional PBE.

Its energy above the lowest structure with this stoichiometry is 983 meV/atom. For the formation energy (no corrections), the calculation gives 0.677 eV per atom. As for the calculated volume: 23.45 A^3/atom. As for the raw total energy: -1.97 eV/atom.

The structure belongs to space group Pm-3m (No. 221); the cell edges are 4.895, 4.895 and 4.895 Å and the angles 90.00°, 90.00° and 90.00°. The inequivalent atoms are B at (0.000, 0.000, 0.000), I at (0.500, 0.500, 0.500) and Br at (0.000, 0.000, 0.500).


formation energy (no corrections) of number 2 (BIBr3)? 0.677 eV per atom


Among the records above, which one has the lowest raw total energy? B2IBr